# La2TbAu GGA-PBE optimized geometry
data_La2TbAu
_chemical_formula_sum 'La2 Tb1 Au1'
_cell_length_a 10.470
_cell_length_b 10.470
_cell_length_c 10.470
_cell_angle_alpha 21.09
_cell_angle_beta 21.09
_cell_angle_gamma 21.09
_space_group_name_H-M_alt 'P 1'
_space_group_IT_number 1
loop_
_space_group_symop_operation_xyz
'x,y,z'
loop_
_atom_site_label
_atom_site_fract_x
_atom_site_fract_y
_atom_site_fract_z
La1 0.239 0.239 0.239
La2 0.761 0.761 0.761
Tb1 0.000 0.000 0.000
Au1 0.500 0.500 0.500
# distance to the lowest polymorph of the same formula: 0.136 eV/atom
# spin magnetization: 0.000 μB per cell
# SG: No. 166
# VASP energy: -18.81 eV/cell
# density of states at the Fermi level: 0.924 states/eV per atom

***

# Nd3DySe6 GGA-PBE optimized geometry
data_Nd3DySe6
_chemical_formula_sum 'Nd6 Dy2 Se12'
_cell_length_a 7.024
_cell_length_b 7.749
_cell_length_c 12.669
_cell_angle_alpha 90.00
_cell_angle_beta 122.70
_cell_angle_gamma 90.00
_space_group_name_H-M_alt 'P 1'
_space_group_IT_number 1
loop_
_space_group_symop_operation_xyz
'x,y,z'
loop_
_atom_site_label
_atom_site_fract_x
_atom_site_fract_y
_atom_site_fract_z
Nd1 0.000 0.000 0.000
Nd2 0.000 0.500 0.500
Nd3 0.298 0.103 0.753
Nd4 0.298 0.397 0.253
Nd5 0.702 0.603 0.747
Nd6 0.702 0.897 0.247
Dy1 0.500 0.000 0.500
Dy2 0.500 0.500 0.000
Se1 0.097 0.060 0.256
Se2 0.097 0.440 0.756
Se3 0.258 0.680 0.082
Se4 0.258 0.820 0.582
Se5 0.413 0.186 0.080
Se6 0.413 0.314 0.580
Se7 0.587 0.686 0.420
Se8 0.587 0.814 0.920
Se9 0.742 0.180 0.418
Se10 0.742 0.320 0.918
Se11 0.903 0.560 0.244
Se12 0.903 0.940 0.744
# distance to the lowest polymorph of the same formula: 0.022 eV/atom
# spin magnetization: 0.000 μB per cell
# SG: No. 14
# VASP energy: -116.45 eV/cell
# formation energy without anion corrections: -18.41 eV/f.u.
# density of states at the Fermi level: 0.000 states/eV per atom

***

# Pm2NdGa2Ag2 GGA-PBE optimized geometry
data_Pm2NdGa2Ag2
_chemical_formula_sum 'Pm2 Nd1 Ga2 Ag2'
_cell_length_a 9.559
_cell_length_b 9.559
_cell_length_c 9.559
_cell_angle_alpha 28.35
_cell_angle_beta 28.35
_cell_angle_gamma 28.35
_space_group_name_H-M_alt 'P 1'
_space_group_IT_number 1
loop_
_space_group_symop_operation_xyz
'x,y,z'
loop_
_atom_site_label
_atom_site_fract_x
_atom_site_fract_y
_atom_site_fract_z
Pm1 0.126 0.126 0.126
Pm2 0.874 0.874 0.874
Nd1 0.000 0.000 0.000
Ga1 0.259 0.259 0.259
Ga2 0.741 0.741 0.741
Ag1 0.399 0.399 0.399
Ag2 0.601 0.601 0.601
# spin magnetization: 0.000 μB per cell
# SG: No. 166
# VASP energy: -28.67 eV/cell
# density of states at the Fermi level: 0.759 states/eV per atom

***

# Pm5Pr3Tl GGA-PBE optimized geometry
data_Pm5Pr3Tl
_chemical_formula_sum 'Pm10 Pr6 Tl2'
_cell_length_a 6.569
_cell_length_b 6.569
_cell_length_c 15.767
_cell_angle_alpha 98.47
_cell_angle_beta 98.47
_cell_angle_gamma 77.55
_space_group_name_H-M_alt 'P 1'
_space_group_IT_number 1
loop_
_space_group_symop_operation_xyz
'x,y,z'
loop_
_atom_site_label
_atom_site_fract_x
_atom_site_fract_y
_atom_site_fract_z
Pm1 0.067 0.067 0.223
Pm2 0.073 0.616 0.337
Pm3 0.171 0.829 0.000
Pm4 0.258 0.258 0.857
Pm5 0.384 0.927 0.663
Pm6 0.616 0.073 0.337
Pm7 0.742 0.742 0.143
Pm8 0.829 0.171 0.000
Pm9 0.927 0.384 0.663
Pm10 0.933 0.933 0.777
Pr1 0.146 0.146 0.461
Pr2 0.344 0.344 0.145
Pr3 0.500 0.500 0.000
Pr4 0.500 0.500 0.500
Pr5 0.656 0.656 0.855
Pr6 0.854 0.854 0.539
Tl1 0.410 0.410 0.685
Tl2 0.590 0.590 0.315
# spin magnetization: 0.001 μB per cell
# SG: No. 12
# VASP energy: -76.77 eV/cell
# density of states at the Fermi level: 1.628 states/eV per atom